Li2VF6 | GGA+U | optimized geometry

Unit cell a=4.9434 b=4.9434 c=4.4915 alpha=90.00 beta=90.00 gamma=120.00
With the nearest neighbours (Å) after each atom.
Fractional coordinates of all 9 atoms:
Li1 0.3333 0.6667 0.0000  6 F 2.05
Li2 0.6667 0.3333 0.0000  6 F 2.05
V1 0.0000 0.0000 0.5000  6 F 1.89
F1 0.0000 0.3112 0.2553  1 V 1.89, 2 Li 2.05
F2 0.0000 0.6888 0.7447  1 V 1.89, 2 Li 2.05
F3 0.3112 0.0000 0.2553  1 V 1.89, 2 Li 2.05
F4 0.3112 0.3112 0.7447  1 V 1.89, 2 Li 2.05
F5 0.6888 0.0000 0.7447  1 V 1.89, 2 Li 2.05
F6 0.6888 0.6888 0.2553  1 V 1.89, 2 Li 2.05

Density = 3.12 g cm⁻³
Spin magnetization = 1.00 μB per formula unit
E_tot = -5.294 eV per atom
Energy above the most stable polymorph in this dataset = 69 meV/atom